Entry from Alexandria: a geometry-optimized TiSn2Pd structure (PBE-GGA).

calculated formation energy: -0.8 eV per formula unit
electronic total energy: -87.5 eV for the cell shown

Cell and atoms, written as CIF:
```
data_TiSn2Pd
_symmetry_space_group_name_H-M 'F m -3 m'
_symmetry_Int_Tables_number 225
_symmetry_space_group_name_Hall '-F 4 2 3'
_cell_length_a 6.785
_cell_length_b 6.785
_cell_length_c 6.785
_cell_angle_alpha 90.00
_cell_angle_beta 90.00
_cell_angle_gamma 90.00
loop_
_atom_site_label
_atom_site_type_symbol
_atom_site_fract_x
_atom_site_fract_y
_atom_site_fract_z
Ti1 Ti 0.000 0.000 0.000
Sn1 Sn 0.250 0.250 0.250
Pd1 Pd 0.000 0.000 0.500
```